A geometry-optimized CoAgBiTe2 structure, computed with PBEsol.

Energy relative to the elements, uncorrected ... 1342.3 meV per atom
Fermi-level density of states ... 1.14 states/eV per atom

Geometry as CIF:
```
data_CoAgBiTe2
_cell_length_a 5.905
_cell_length_b 5.905
_cell_length_c 5.082
_cell_angle_alpha 90.00
_cell_angle_beta 90.00
_cell_angle_gamma 90.00
_symmetry_space_group_name_H-M 'P 4/m m m'
_symmetry_Int_Tables_number 123
_symmetry_space_group_name_Hall '-P 4 2'
loop_
_atom_site_label
_atom_site_fract_x
_atom_site_fract_y
_atom_site_fract_z
Co1 0.000 0.000 0.000
Ag1 0.500 0.500 0.000
Bi1 0.500 0.500 0.500
Te1 0.000 0.500 0.500
```